Density functional theory data (PBE-GGA) for an optimized crystal structure of Tl2AsPt.

For the magnetization, the calculation gives 0.00 μB/f.u. The value obtained for the polymorph energy (0 for the lowest one) is 2.05 eV per formula unit. As for the total DFT energy (no corrections): -14.10 eV per formula unit.

The structure in CIF format:
```
data_Tl2AsPt
_symmetry_space_group_name_H-M 'P 1'
_symmetry_Int_Tables_number 1
_symmetry_space_group_name_Hall 'P 1'
_cell_length_a 6.3077
_cell_length_b 6.3077
_cell_length_c 7.7729
_cell_angle_alpha 66.06
_cell_angle_beta 66.06
_cell_angle_gamma 90.00
loop_
_atom_site_label
_atom_site_type_symbol
_atom_site_fract_x
_atom_site_fract_y
_atom_site_fract_z
Tl1 Tl 0.6335 0.1250 0.2500
Tl2 Tl 0.1165 0.6250 0.2500
Tl3 Tl 0.3750 0.3665 0.7500
Tl4 Tl 0.8750 0.8835 0.7500
As1 As 0.5000 0.5000 0.0000
As2 As 0.2500 0.7500 0.5000
Pt1 Pt 0.0000 0.0000 0.0000
Pt2 Pt 0.7500 0.2500 0.5000
```